1.
Below is a relaxed KRePb2 crystal, with properties calculated at the PBE level.

Results
Theoretical density, g/cm3: 9.76
E_form, kcal/mol of atoms: 28.731
N(E_F), states/eV per cell: 5.1
Symmetry: F-43m

```
KRePb2
1.0
0.000 3.790 3.790
3.790 0.000 3.790
3.790 3.790 0.000
K Re Pb
1 1 2
direct
0.000 0.000 0.000
0.250 0.250 0.250
0.500 0.500 0.500
0.750 0.750 0.750
```



2.
Below is a relaxed NaMn2HN crystal, with properties calculated at the PBE level.

Results
Theoretical density, g/cm3: 3.21
Calculated total energy, eV for the cell shown: -21.37
N(E_F), states/eV per cell: 3.2
Symmetry: P4/mmm

```
NaMn2HN
1.0
4.803 0.000 0.000
0.000 4.803 0.000
0.000 0.000 3.312
Na Mn H N
1 2 1 1
direct
0.000 0.000 0.000
0.000 0.500 0.000
0.500 0.000 0.000
0.000 0.000 0.500
0.500 0.500 0.500
```



Q: Among the records above, which one has the highest N(E_F)?
A: KRePb2



Q: The lowest N(E_F) belongs to which entry?
A: NaMn2HN